Entry from Alexandria via LeMat-Bulk: a geometry-optimized ZnSnPO2 structure (GGA-PBE).

The structure in POSCAR format:
```
ZnSnPO2
1.0
3.900 0.000 0.000
0.000 3.900 0.000
0.000 0.000 4.904
Zn Sn P O
1 1 1 2
Direct
0.000 0.000 0.000
0.500 0.500 0.500
0.000 0.000 0.500
0.000 0.500 0.000
0.500 0.000 0.000
```

Results
D(E_F)	3.5	states/eV per cell
magnetic moment	0.072	μB/atom
formation energy (no corrections)	-63	meV per atom
DFT total energy	-4.184	eV/atom